Material: CeDy5Rh6
Method: DFT, GGA-PBE
State: relaxed

The structure belongs to space group Cmmm (No. 65); the cell edges are 4.820, 14.436 and 7.006 Å and the angles 90.00°, 90.00° and 90.00°. The asymmetric unit holds Ce at (0.000, 0.000, 0.000), Dy at (0.000, 0.000, 0.500), Dy at (0.000, 0.331, 0.000), Dy at (0.000, 0.333, 0.500), Rh at (0.000, 0.164, 0.249) and Rh at (0.000, 0.500, 0.246).

The formation energy comes out at -0.840 eV per atom. The total moment is 0.1 μB per formula unit. Its calculated volume is 243.74 Å³/f.u. Its density of states at the Fermi level is 16.498 states/eV/cell.